An optimized crystal structure of Cr2HCSe, computed with PBE-GGA.

The structure belongs to space group P4/mmm (No. 123); the cell edges are 4.064, 4.064 and 3.019 Å and the angles 90.00°, 90.00° and 90.00°. The asymmetric unit holds Cr at (0.000, 0.500, 0.000), H at (0.000, 0.000, 0.500), C at (0.000, 0.000, 0.000) and Se at (0.500, 0.500, 0.500).

The calculation puts the raw total energy at -0.4906 Ry per atom. As for the size of the total moment: 2.3 μB per formula unit.